Below is a relaxed structure of Tb2CePr5Nd, with properties calculated at the PBE level.

Structure (extended XYZ):
```
18
Lattice="8.229 0.000 0.000 0.000 8.229 0.000 0.000 0.000 9.397" Properties=species:S:1:pos:R:3 pbc="T T T"
Tb 1.064 3.051 0.000
Tb 3.051 7.165 0.000
Tb 5.178 1.064 0.000
Tb 7.165 5.178 0.000
Ce 0.000 4.114 4.699
Ce 4.114 0.000 4.699
Pr 0.000 0.000 0.000
Pr 1.614 5.729 2.524
Pr 1.614 5.729 6.873
Pr 2.500 1.614 2.524
Pr 2.500 1.614 6.873
Pr 4.114 4.114 0.000
Pr 5.729 6.614 2.524
Pr 5.729 6.614 6.873
Pr 6.614 2.500 2.524
Pr 6.614 2.500 6.873
Nd 0.000 0.000 4.699
Nd 4.114 4.114 4.699
```

Results
The calculation puts the formation energy at 281 meV per atom.

***

Below is a relaxed structure of TbCePr6Nd2, with properties calculated at the PBE level.

Structure (extended XYZ):
```
10
Lattice="5.786 -3.539 0.000 5.786 3.539 0.000 -2.371 0.000 8.701" Properties=species:S:1:pos:R:3 pbc="T T T"
Tb 0.000 0.000 0.000
Ce 4.600 0.000 4.350
Pr 2.049 1.864 6.119
Pr 4.170 0.000 0.752
Pr 7.151 1.864 2.582
Pr 2.049 -1.864 6.119
Pr 5.030 0.000 7.949
Pr 7.151 -1.864 2.582
Nd -0.568 0.000 5.801
Nd 9.768 0.000 2.900
```

Results
The calculation puts the formation energy at 224 meV per atom.

***

Below is a relaxed structure of Tb2CePrNd6, with properties calculated at the PBE level.

Structure (extended XYZ):
```
10
Lattice="5.693 -3.496 0.000 5.693 3.496 0.000 -2.004 0.000 8.772" Properties=species:S:1:pos:R:3 pbc="T T T"
Tb 0.736 0.000 1.376
Tb 8.646 0.000 7.396
Ce 5.693 0.000 0.000
Pr -1.002 0.000 4.386
Nd 3.354 1.840 1.752
Nd 3.060 0.000 5.121
Nd 6.028 1.840 7.020
Nd 3.354 -1.840 1.752
Nd 6.322 0.000 3.651
Nd 6.028 -1.840 7.020
```

Results
The calculation puts the formation energy at 233 meV per atom.

***

Below is a relaxed structure of CePrNdTc, with properties calculated at the PBE level.

Structure (extended XYZ):
```
12
Lattice="4.413 0.000 0.000 -2.207 3.822 0.000 0.000 0.000 21.468" Properties=species:S:1:pos:R:3 pbc="T T T"
Ce 0.000 0.000 0.000
Ce 0.000 2.548 14.312
Ce 2.207 1.274 7.156
Pr 0.000 0.000 9.437
Pr 0.000 2.548 2.281
Pr 2.207 1.274 16.593
Nd 0.000 0.000 4.916
Nd 0.000 2.548 19.228
Nd 2.207 1.274 12.072
Tc 0.000 0.000 14.090
Tc 0.000 2.548 6.934
Tc 2.207 1.274 21.247
```

Results
The calculation puts the formation energy at 120 meV per atom.

***

Below is a relaxed structure of Ce3PrNd3Te8, with properties calculated at the PBE level.

Structure (extended XYZ):
```
15
Lattice="4.483 2.588 7.332 -4.483 2.588 7.332 0.000 -5.176 7.332" Properties=species:S:1:pos:R:3 pbc="T T T"
Ce -2.241 -1.294 7.332
Ce -2.241 1.294 14.664
Ce 0.000 2.588 7.332
Pr 0.000 0.000 0.000
Nd -4.483 0.000 10.998
Nd -2.241 1.294 3.666
Nd 2.241 1.294 3.666
Te 0.000 0.000 5.502
Te 0.000 -2.521 9.209
Te -2.184 1.261 9.209
Te -2.184 -1.261 12.787
Te 2.184 1.261 9.209
Te 2.184 -1.261 12.787
Te 0.000 2.521 12.787
Te 0.000 0.000 16.494
```

***

Below is a relaxed structure of Ce3PrNd2Te6, with properties calculated at the PBE level.

Structure (extended XYZ):
```
12
Lattice="3.880 -6.730 0.000 3.880 6.730 0.000 -2.592 0.000 7.405" Properties=species:S:1:pos:R:3 pbc="T T T"
Ce 0.000 0.000 0.000
Ce 3.880 2.232 0.000
Ce 3.880 -2.232 0.000
Pr 2.584 0.000 3.703
Nd 2.584 4.485 3.703
Nd 2.584 -4.485 3.703
Te 1.285 2.253 1.839
Te -0.017 0.000 5.559
Te 1.285 -2.253 1.839
Te 3.882 2.253 5.566
Te 5.184 0.000 1.846
Te 3.882 -2.253 5.566
```

***

Below is a relaxed structure of CePr2Nd3Te6, with properties calculated at the PBE level.

Structure (extended XYZ):
```
12
Lattice="9.820 -2.243 0.000 9.820 2.243 0.000 -2.076 0.000 8.836" Properties=species:S:1:pos:R:3 pbc="T T T"
Ce 0.000 0.000 0.000
Pr 5.157 0.000 5.894
Pr 12.407 0.000 2.942
Nd -1.038 0.000 4.418
Nd 6.156 0.000 1.465
Nd 11.408 0.000 7.371
Te 3.082 0.000 0.713
Te 2.048 0.000 5.164
Te 9.276 0.000 2.201
Te 8.288 0.000 6.636
Te 15.516 0.000 3.672
Te 14.482 0.000 8.123
```

***

Below is a relaxed structure of CePr4Nd3Te8, with properties calculated at the PBE level.

Structure (extended XYZ):
```
16
Lattice="4.515 2.607 7.376 -4.515 2.607 7.376 0.000 -5.213 7.376" Properties=species:S:1:pos:R:3 pbc="T T T"
Ce 0.000 0.000 0.000
Pr -4.515 0.000 11.064
Pr -2.257 1.303 3.688
Pr 2.257 1.303 3.688
Pr 0.000 0.000 11.064
Nd -2.257 -1.303 7.376
Nd -2.257 1.303 14.751
Nd 0.000 2.607 7.376
Te 0.000 -2.613 9.196
Te -2.263 1.307 9.196
Te -2.263 -1.307 12.931
Te 0.000 0.000 5.551
Te 0.000 0.000 16.576
Te 2.263 1.307 9.196
Te 2.263 -1.307 12.931
Te 0.000 2.613 12.931
```

***

Below is a relaxed structure of Ce3Pr4NdTe8, with properties calculated at the PBE level.

Structure (extended XYZ):
```
16
Lattice="4.501 2.599 7.408 -4.501 2.599 7.408 0.000 -5.197 7.408" Properties=species:S:1:pos:R:3 pbc="T T T"
Ce -2.250 -1.299 7.408
Ce -2.250 1.299 14.815
Ce 0.000 2.599 7.408
Pr -4.501 0.000 11.111
Pr -2.250 1.299 3.704
Pr 2.250 1.299 3.704
Pr 0.000 0.000 11.111
Nd 0.000 0.000 0.000
Te 0.000 -2.595 9.236
Te -2.247 1.297 9.236
Te 0.000 0.000 5.579
Te -2.247 -1.297 12.987
Te 2.247 1.297 9.236
Te 0.000 0.000 16.644
Te 2.247 -1.297 12.987
Te 0.000 2.595 12.987
```

***

Below is a relaxed structure of CePr2NdTe5, with properties calculated at the PBE level.

Structure (extended XYZ):
```
9
Lattice="5.701 0.000 0.000 0.000 5.701 0.000 0.000 0.000 12.013" Properties=species:S:1:pos:R:3 pbc="T T T"
Ce 0.000 0.000 0.000
Pr 2.850 2.850 4.156
Pr 2.850 2.850 7.857
Nd 0.000 0.000 6.006
Te 0.000 0.000 2.984
Te 0.000 0.000 9.028
Te 0.000 2.850 6.006
Te 2.850 0.000 6.006
Te 2.850 2.850 0.000
```

***

Below is a relaxed structure of Ce2Pr3NdTe6, with properties calculated at the PBE level.

Structure (extended XYZ):
```
12
Lattice="9.846 -2.245 0.000 9.846 2.245 0.000 -2.141 0.000 8.826" Properties=species:S:1:pos:R:3 pbc="T T T"
Ce 2.572 0.000 2.952
Ce 14.979 0.000 5.874
Pr 1.467 0.000 7.353
Pr 8.776 0.000 4.413
Pr 16.085 0.000 1.473
Nd 9.846 0.000 0.000
Te -0.502 0.000 2.198
Te 5.660 0.000 3.687
Te 4.608 0.000 8.067
Te 12.943 0.000 0.759
Te 11.891 0.000 5.139
Te 18.053 0.000 6.628
```

***

Below is a relaxed structure of Ce3Pr2NdTe6, with properties calculated at the PBE level.

Structure (extended XYZ):
```
12
Lattice="3.884 -6.737 0.000 3.884 6.737 0.000 -2.595 0.000 7.417" Properties=species:S:1:pos:R:3 pbc="T T T"
Ce 0.000 0.000 0.000
Ce 3.884 2.259 0.000
Ce 3.884 -2.259 0.000
Pr 2.587 4.494 3.708
Pr 2.587 -4.494 3.708
Nd 2.587 0.000 3.708
Te 1.300 2.236 1.841
Te 0.010 0.000 5.584
Te 1.300 -2.236 1.841
Te 3.873 2.236 5.576
Te 5.164 0.000 1.832
Te 3.873 -2.236 5.576
```

***

no.,uncorrected energy (eV per atom)
1,-4.593
2,-4.653
3,-4.625
4,-6.342
5,-5.570
6,-5.653
7,-5.477
8,-5.455
9,-5.592
10,-4.765
11,-5.571
12,-5.657